[1]
Below is a geometry-optimized Ac4Te2AuS structure, with properties calculated at the GGA-PBE level.

Summary:
- Formation energy without anion corrections: -138.13 kJ per mole of atoms

Cell: 7.9886 4.4700 8.1959 Å, 90.00 108.69 90.00°
Sites, in units of the cell vectors:
Ac  0.2343  0.0000  0.2251
Ac  0.2608  0.5000  0.7758
Ac  0.7392  0.5000  0.2242
Ac  0.7657  0.0000  0.7749
Te  0.0000  0.0000  0.5000
Te  0.5000  0.5000  0.5000
Au  0.5000  0.0000  0.0000
S  0.0000  0.5000  0.0000

=====

[2]
Below is a geometry-optimized RbLi3Sc structure, with properties calculated at the GGA-PBE level.

Summary:
- DFT total energy: -0.0704 hartree per atom

Cell: 5.9525 5.9525 5.9525 Å, 90.00 90.00 90.00°
Sites, in units of the cell vectors:
Rb  0.0000  0.0000  0.0000
Li  0.0000  0.5000  0.5000
Li  0.5000  0.0000  0.5000
Li  0.5000  0.5000  0.0000
Sc  0.5000  0.5000  0.5000

=====

[3]
Below is a geometry-optimized As2SeBrCl structure, with properties calculated at the GGA-PBE level.

Summary:
- Formation energy without anion corrections: 102.81 kJ per mole of atoms

Cell: 5.0751 5.0751 5.0287 Å, 90.00 90.00 90.00°
Sites, in units of the cell vectors:
As  0.0000  0.5000  0.0000
As  0.5000  0.0000  0.0000
Se  0.0000  0.0000  0.5000
Br  0.5000  0.5000  0.5000
Cl  0.0000  0.0000  0.0000

=====

[4]
Below is a geometry-optimized AcNd8Ga6 structure, with properties calculated at the GGA-PBE level.

Summary:
- DFT total energy: -0.1604 hartree per atom

Cell: 8.1792 8.1792 8.1792 Å, 67.19 67.19 67.19°
Sites, in units of the cell vectors:
Ac  0.0000  0.0000  0.0000
Nd  0.1132  0.7797  0.4448
Nd  0.2203  0.5552  0.8868
Nd  0.3326  0.3326  0.3326
Nd  0.4448  0.1132  0.7797
Nd  0.5552  0.8868  0.2203
Nd  0.6674  0.6674  0.6674
Nd  0.7797  0.4448  0.1132
Nd  0.8868  0.2203  0.5552
Ga  0.0578  0.3997  0.7152
Ga  0.2848  0.9422  0.6003
Ga  0.3997  0.7152  0.0578
Ga  0.6003  0.2848  0.9422
Ga  0.7152  0.0578  0.3997
Ga  0.9422  0.6003  0.2848

=====

[5]
Below is a geometry-optimized Sc2WAu structure, with properties calculated at the GGA-PBE level.

Summary:
- DFT total energy: -0.2664 hartree per atom

Cell: 5.6697 5.6697 5.6697 Å, 145.18 132.24 60.45°
Sites, in units of the cell vectors:
Sc  0.0000  0.0000  0.0000
Sc  0.7290  0.2290  0.5000
W  0.2450  0.7450  0.5000
Au  0.4789  0.4789  0.0000

=====

[6]
Below is a geometry-optimized Be2Pt structure, with properties calculated at the GGA-PBE level.

Summary:
- DFT total energy: -0.1834 hartree per atom

Cell: 3.9531 3.9531 4.8045 Å, 90.00 90.00 120.00°
Sites, in units of the cell vectors:
Be  0.0000  0.0000  0.0000
Be  0.0000  0.0000  0.5000
Be  0.3333  0.6667  0.2500
Be  0.6667  0.3333  0.7500
Pt  0.3333  0.6667  0.7500
Pt  0.6667  0.3333  0.2500

=====

[7]
Below is a geometry-optimized Mn2ReOs structure, with properties calculated at the GGA-PBE level.

Summary:
- DFT total energy: -0.3802 hartree per atom

Cell: 4.2457 4.2457 4.2457 Å, 60.00 60.00 60.00°
Sites, in units of the cell vectors:
Mn  0.0000  0.0000  0.0000
Mn  0.2500  0.2500  0.2500
Re  0.5000  0.5000  0.5000
Os  0.7500  0.7500  0.7500

=====

[8]
Below is a geometry-optimized YZr2Br structure, with properties calculated at the GGA-PBE level.

Summary:
- Formation energy without anion corrections: 9.05 kJ per mole of atoms

Cell: 4.1540 4.1540 5.7243 Å, 90.00 90.00 90.00°
Sites, in units of the cell vectors:
Y  0.0000  0.0000  0.0000
Zr  0.0000  0.5000  0.5000
Zr  0.5000  0.0000  0.5000
Br  0.5000  0.5000  0.0000

=====

Question: What is the formula in the sixth record?
Answer: Be2Pt

=====

Question: Which formula does entry 8 have?
Answer: YZr2Br